# 1
{"formula": "CsScTc2Se", "functional": "PBE-GGA", "state": "relaxed", "lattice_angstrom": [[4.916, 0.000, 0.000], [0.000, 4.916, 0.000], [0.000, 0.000, 6.113]], "species": ["Cs", "Sc", "Tc", "Tc", "Se"], "frac_coords": [[0.000, 0.000, 0.000], [0.000, 0.000, 0.500], [0.000, 0.500, 0.500], [0.500, 0.000, 0.500], [0.500, 0.500, 0.000]], "e_form_raw_ev_per_atom": 1.530, "dft_energy_ev_per_atom": -4.750, "magnetic_moment_mub_per_fu": 4.8, "crystal_system": "tetragonal"}

=====

# 2
{"formula": "Be2CrBPd", "functional": "PBE-GGA", "state": "relaxed", "lattice_angstrom": [[3.986, 0.000, 0.000], [0.000, 3.986, 0.000], [0.000, 0.000, 4.732]], "species": ["Be", "Be", "Cr", "B", "Pd"], "frac_coords": [[0.000, 0.500, 0.000], [0.500, 0.000, 0.000], [0.000, 0.000, 0.500], [0.500, 0.500, 0.500], [0.000, 0.000, 0.000]], "dft_energy_ev_per_atom": -4.191, "magnetic_moment_mub_per_fu": 0.0, "crystal_system": "tetragonal"}